(1)
The following is a DFT calculation (GGA-PBE) of crystalline LiPm5Y4 at its relaxed geometry.

Cell and atoms, written as POSCAR:
```
LiPm5Y4
1.0
3.631 0.000 0.000
0.000 3.631 0.000
0.000 0.000 24.433
Li Pm Y
1 5 4
direct
0.000 0.000 0.000
0.500 0.500 0.085
0.500 0.500 0.292
0.500 0.500 0.500
0.500 0.500 0.708
0.500 0.500 0.915
0.000 0.000 0.188
0.000 0.000 0.396
0.000 0.000 0.604
0.000 0.000 0.812
```

## Properties
**Space-group type**: No. 123
**ΔE_f**: 36 meV/atom

---

(2)
The following is a DFT calculation (GGA-PBE) of crystalline BeN3O at its relaxed geometry.

Cell and atoms, written as POSCAR:
```
BeN3O
1.0
3.398 0.000 0.000
0.000 3.398 0.000
0.000 0.000 3.398
Be N O
1 3 1
direct
0.000 0.000 0.000
0.000 0.000 0.500
0.000 0.500 0.000
0.500 0.000 0.000
0.500 0.500 0.500
```

## Properties
**Formation energy (no corrections)**: 2.418 eV per atom
**Space-group type**: No. 221

---

(3)
The following is a DFT calculation (GGA-PBE) of crystalline CeNiTe2 at its relaxed geometry.

Cell and atoms, written as POSCAR:
```
CeNiTe2
1.0
1.855 1.071 9.199
-1.855 1.071 9.199
0.000 -2.142 9.199
Ce Ni Te
1 1 2
direct
0.000 0.000 0.000
0.500 0.500 0.500
0.114 0.114 0.114
0.886 0.886 0.886
```

## Properties
**Formation energy (no corrections)**: -0.131 eV per atom
**Space-group type**: No. 166
**Energy above the lowest structure with this stoichiometry**: 808 meV per atom

---

(4)
The following is a DFT calculation (GGA-PBE) of crystalline ScTa2MnOs at its relaxed geometry.

Cell and atoms, written as POSCAR:
```
ScTa2MnOs
1.0
4.659 0.000 0.000
0.000 4.659 0.000
0.000 0.000 4.511
Sc Ta Mn Os
1 2 1 1
direct
0.000 0.000 0.000
0.000 0.500 0.000
0.500 0.000 0.000
0.500 0.500 0.500
0.000 0.000 0.500
```

## Properties
**Space-group type**: No. 123
**ΔE_f**: 2290 meV/atom

---

(5)
The following is a DFT calculation (GGA-PBE) of crystalline Sm4TmHg5 at its relaxed geometry.

Cell and atoms, written as POSCAR:
```
Sm4TmHg5
1.0
3.754 0.000 0.000
0.000 3.754 0.000
0.000 0.000 19.023
Sm Tm Hg
4 1 5
direct
0.000 0.000 0.101
0.000 0.000 0.304
0.000 0.000 0.696
0.000 0.000 0.899
0.000 0.000 0.500
0.500 0.500 0.000
0.500 0.500 0.202
0.500 0.500 0.408
0.500 0.500 0.592
0.500 0.500 0.798
```

## Properties
**Space-group type**: No. 123
**ΔE_f**: -471 meV/atom

---

(6)
The following is a DFT calculation (GGA-PBE) of crystalline Na4Zr3FeS8 at its relaxed geometry.

Cell and atoms, written as POSCAR:
```
Na4Zr3FeS8
1.0
3.694 2.133 6.744
-3.694 2.133 6.744
0.000 -4.265 6.744
Na Zr Fe S
4 3 1 8
direct
0.000 0.000 0.000
0.000 0.500 0.500
0.500 0.000 0.500
0.500 0.500 0.000
0.000 0.000 0.500
0.000 0.500 0.000
0.500 0.000 0.000
0.500 0.500 0.500
0.242 0.242 0.242
0.244 0.737 0.737
0.263 0.263 0.756
0.263 0.756 0.263
0.737 0.244 0.737
0.737 0.737 0.244
0.756 0.263 0.263
0.758 0.758 0.758
```

## Properties
**Formation energy (no corrections)**: -1.297 eV per atom
**Space-group type**: No. 166

---

(7)
The following is a DFT calculation (GGA-PBE) of crystalline LiFe2Cl at its relaxed geometry.

Cell and atoms, written as POSCAR:
```
LiFe2Cl
1.0
2.739 -1.489 0.000
2.739 1.489 0.000
-2.418 0.000 7.511
Li Fe Cl
1 2 1
direct
0.000 0.000 0.000
0.169 0.169 0.692
0.394 0.394 0.477
0.771 0.771 0.204
```

## Properties
**Formation energy (no corrections)**: -0.071 eV per atom
**Space-group type**: No. 8
**Energy above the lowest structure with this stoichiometry**: 112 meV per atom

---

(8)
The following is a DFT calculation (GGA-PBE) of crystalline La3Pr2N4 at its relaxed geometry.

Cell and atoms, written as POSCAR:
```
La3Pr2N4
1.0
6.233 -1.864 0.000
6.233 1.864 0.000
-4.713 0.000 7.983
La Pr N
3 2 4
direct
0.000 0.000 0.000
0.203 0.203 0.811
0.797 0.797 0.189
0.391 0.391 0.615
0.609 0.609 0.385
0.197 0.197 0.310
0.392 0.392 0.093
0.608 0.608 0.907
0.803 0.803 0.690
```

## Properties
**Formation energy (no corrections)**: -1.185 eV per atom
**Space-group type**: No. 12

---

(9)
The following is a DFT calculation (GGA-PBE) of crystalline Sr2CuRh at its relaxed geometry.

Cell and atoms, written as POSCAR:
```
Sr2CuRh
1.0
3.968 -1.908 0.000
3.968 1.908 0.000
-1.772 0.000 7.602
Sr Cu Rh
2 1 1
direct
0.247 0.247 0.227
0.753 0.753 0.773
0.000 0.000 0.500
0.500 0.500 0.000
```

## Properties
**Space-group type**: No. 12
**ΔE_f**: 102 meV/atom

---

What did the eighth record say?
The following is a DFT calculation (GGA-PBE) of crystalline La3Pr2N4 at its relaxed geometry.

Cell and atoms, written as POSCAR:
```
La3Pr2N4
1.0
6.233 -1.864 0.000
6.233 1.864 0.000
-4.713 0.000 7.983
La Pr N
3 2 4
direct
0.000 0.000 0.000
0.203 0.203 0.811
0.797 0.797 0.189
0.391 0.391 0.615
0.609 0.609 0.385
0.197 0.197 0.310
0.392 0.392 0.093
0.608 0.608 0.907
0.803 0.803 0.690
```

## Properties
**Formation energy (no corrections)**: -1.185 eV per atom
**Space-group type**: No. 12